# 1
The following is a DFT calculation (meta-GGA SCAN) of a PBEsol-optimized structure of MgH16I2O8.

The space group is Cmce (No. 64) and the conventional cell measures 8.271, 15.762 and 9.577 Å, with angles of 90.00, 90.00 and 90.00 degrees. The distinct sites, in fractional coordinates, are Mg at (0.000, 0.000, 0.000), H at (0.000, 0.128, 0.196), H at (0.000, 0.174, 0.049), H at (0.096, 0.090, 0.784), H at (0.178, 0.048, 0.476), H at (0.219, 0.194, 0.671), I at (0.000, 0.181, 0.446), O at (0.000, 0.054, 0.807), O at (0.000, 0.118, 0.094), O at (0.248, 0.000, 0.500) and O at (0.250, 0.157, 0.750).

As for the total magnetization: 0.0 μB/f.u. The theoretical density comes out at 2.25 g cm⁻³. As for the total energy: -213.77 eV/f.u.


# 2
The following is a DFT calculation (meta-GGA SCAN) of a PBEsol-optimized structure of MgH8I2O10.

The space group is P2_1/c (No. 14) and the conventional cell measures 8.274, 6.323 and 8.316 Å, with angles of 90.00, 99.19 and 90.00 degrees. The distinct sites, in fractional coordinates, are Mg at (0.000, 0.000, 0.000), H at (0.009, 0.117, 0.315), H at (0.162, 0.502, 0.257), H at (0.272, 0.610, 0.727), H at (0.281, 0.719, 0.552), I at (0.340, 0.185, 0.529), O at (0.068, 0.582, 0.288), O at (0.118, 0.209, 0.478), O at (0.240, 0.593, 0.607), O at (0.348, 0.584, 0.941) and O at (0.349, 0.116, 0.743).

As for the total magnetization: 0.0 μB/f.u. The theoretical density comes out at 3.45 g cm⁻³. As for the total energy: -190.46 eV/f.u.